DFT (PBE) results for a relaxed KSi2O4 crystal.

The structure in extended XYZ format:
```
7
Lattice="-2.305 2.305 5.305 2.305 -2.305 5.305 2.305 2.305 -5.305" Properties=species:S:1:pos:R:3 pbc="T T T"
K 0.000 0.000 0.000
Si 0.000 0.000 4.204
Si 0.000 0.000 6.407
O 2.305 0.000 0.000
O 0.000 0.000 2.677
O 0.000 2.305 0.000
O 0.000 0.000 7.933
```

Its formation energy from raw total energies is -57.78 kJ/mol of atoms. As for the crystal system: tetragonal. As for the total magnetization: 0.93 μB/f.u. The energy above the most stable polymorph in this dataset is 1.607 eV/atom. The total energy is -5.138 eV per atom. The volume comes out at 16.106 Å³/atom.